{
  "formula": "K2TcNiO4",
  "functional": "PBE+U",
  "state": "optimized geometry",
  "e_tot_ev_per_atom": -5.60,
  "space_group": "I-4, No. 82",
  "mass_density_g_cm3": 3.778,
  "lattice": [[-3.062, 3.062, 3.503], [3.062, -3.062, 3.503], [3.062, 3.062, -3.503]],
  "species": ["K", "K", "Tc", "Ni", "O", "O", "O", "O"],
  "fractional_positions": [[0.000, 0.000, 0.000], [0.750, 0.250, 0.500], [0.250, 0.750, 0.500], [0.500, 0.500, 0.000], [0.262, 0.112, 0.578], [0.316, 0.738, 0.850], [0.534, 0.684, 0.422], [0.888, 0.466, 0.150]]
}